The following is a DFT calculation (PBE-GGA) of a relaxed structure of MnBe2S4.

Results
**Symmetry**: No. 139
**Uncorrected energy**: -0.1741 Ha/atom

Cell: 4.594 4.594 6.306 Å, 68.64 68.64 90.00°
Positions (direct):
Be 0.400 0.400 0.201
Be 0.600 0.600 0.799
S 0.221 0.221 0.558
S 0.779 0.779 0.442
S 0.000 0.500 0.000
S 0.500 0.000 0.000
Mn 0.000 0.000 0.000